[1]
Here is a relaxed CuSi2Os crystal from the Alexandria database. Energies are from PBE.

Computed properties:
ΔE_f (raw) = -0.4 kcal/mol of atoms
ΔE to the lowest computed polymorph = 0.28 eV/f.u.
Space group = C2/m, No. 12
Uncorrected energy = -6.560 eV/atom
M_tot = 0.0 Bohr magnetons per cell

Cell lengths 7.9188, 2.9588, 4.6463 Å; angles 90.00, 99.42, 90.00 degrees
Last column: nearest neighbours and their distance in Å.
Atoms (fractional coordinates):
Cu: 0.0000 0.0000 0.0000  6 Si 2.44-2.67
Cu: 0.5000 0.5000 0.0000  6 Si 2.44-2.67
Si: 0.2406 0.0000 0.7327  3 Cu 2.44-2.67, 3 Os 2.47-2.51, 2 Si 2.64
Si: 0.2594 0.5000 0.2673  3 Cu 2.44-2.67, 3 Os 2.47-2.51, 2 Si 2.64
Si: 0.7406 0.5000 0.7327  3 Cu 2.44-2.67, 3 Os 2.47-2.51, 2 Si 2.64
Si: 0.7594 0.0000 0.2673  3 Cu 2.44-2.67, 3 Os 2.47-2.51, 2 Si 2.64
Os: 0.0000 0.5000 0.5000  6 Si 2.47-2.51, 4 Cu 2.75
Os: 0.5000 0.0000 0.5000  6 Si 2.47-2.51, 4 Cu 2.75


[2]
Here is a relaxed CuSi2Os crystal from the Alexandria database. Energies are from PBE.

Computed properties:
ΔE_f (raw) = 10.1 kcal/mol of atoms
ΔE to the lowest computed polymorph = 2.11 eV/f.u.
Space group = F-43m, No. 216
Uncorrected energy = -6.104 eV/atom
M_tot = 0.0 Bohr magnetons per cell

Cell lengths 5.9820, 5.9820, 5.9820 Å; angles 90.00, 90.00, 90.00 degrees
Last column: nearest neighbours and their distance in Å.
Atoms (fractional coordinates):
Cu: 0.0000 0.0000 0.0000  4 Os 2.59, 4 Si 2.59
Cu: 0.0000 0.5000 0.5000  4 Os 2.59, 4 Si 2.59
Cu: 0.5000 0.0000 0.5000  4 Os 2.59, 4 Si 2.59
Cu: 0.5000 0.5000 0.0000  4 Os 2.59, 4 Si 2.59
Si: 0.0000 0.0000 0.5000  4 Os 2.59, 4 Si 2.59
Si: 0.0000 0.5000 0.0000  4 Os 2.59, 4 Si 2.59
Si: 0.2500 0.2500 0.7500  4 Cu 2.59, 4 Si 2.59
Si: 0.2500 0.7500 0.2500  4 Cu 2.59, 4 Si 2.59
Si: 0.5000 0.0000 0.0000  4 Os 2.59, 4 Si 2.59
Si: 0.5000 0.5000 0.5000  4 Os 2.59, 4 Si 2.59
Si: 0.7500 0.2500 0.2500  4 Cu 2.59, 4 Si 2.59
Si: 0.7500 0.7500 0.7500  4 Cu 2.59, 4 Si 2.59
Os: 0.2500 0.2500 0.2500  4 Cu 2.59, 4 Si 2.59
Os: 0.2500 0.7500 0.7500  4 Cu 2.59, 4 Si 2.59
Os: 0.7500 0.2500 0.7500  4 Cu 2.59, 4 Si 2.59
Os: 0.7500 0.7500 0.2500  4 Cu 2.59, 4 Si 2.59


[3]
Here is a relaxed CuSi2Os crystal from the Alexandria database. Energies are from PBE.

Computed properties:
ΔE_f (raw) = 6.7 kcal/mol of atoms
ΔE to the lowest computed polymorph = 1.52 eV/f.u.
Space group = P4mm, No. 99
Uncorrected energy = -6.250 eV/atom
M_tot = 0.0 Bohr magnetons per cell

Cell lengths 2.7785, 2.7785, 7.2202 Å; angles 90.00, 90.00, 90.00 degrees
Last column: nearest neighbours and their distance in Å.
Atoms (fractional coordinates):
Cu: 0.0000 0.0000 0.0000  4 Si 2.59, 4 Os 2.73, 4 Cu 2.78
Si: 0.0000 0.0000 0.4713  4 Os 2.48
Si: 0.5000 0.5000 0.7672  4 Cu 2.59, 4 Si 2.78
Os: 0.5000 0.5000 0.2621  4 Si 2.48, 4 Cu 2.73


[4]
Here is a relaxed CuSiOs2 crystal from the Alexandria database. Energies are from PBE.

Computed properties:
ΔE_f (raw) = 3.5 kcal/mol of atoms
Space group = Cm, No. 8
Uncorrected energy = -7.841 eV/atom
M_tot = 0.0 Bohr magnetons per cell

Cell lengths 8.8306, 2.8095, 4.3849 Å; angles 90.00, 101.19, 90.00 degrees
Last column: nearest neighbours and their distance in Å.
Atoms (fractional coordinates):
Cu: 0.0000 0.0000 0.0000  3 Si 2.60-2.70, 7 Os 2.60-2.69, 2 Cu 2.81
Cu: 0.5000 0.5000 0.0000  3 Si 2.60-2.70, 7 Os 2.60-2.69, 2 Cu 2.81
Si: 0.2554 0.5000 0.2463  7 Os 2.55-2.71, 3 Cu 2.60-2.70, 2 Si 2.81
Si: 0.7554 0.0000 0.2463  7 Os 2.55-2.71, 3 Cu 2.60-2.70, 2 Si 2.81
Os: 0.2459 0.0000 0.7567  4 Si 2.55-2.66, 3 Cu 2.60-2.69, 5 Os 2.65-2.81
Os: 0.4991 0.0000 0.4987  4 Cu 2.60-2.61, 3 Si 2.63-2.71, 5 Os 2.65-2.81
Os: 0.7459 0.5000 0.7567  4 Si 2.55-2.66, 3 Cu 2.60-2.69, 5 Os 2.65-2.81
Os: 0.9991 0.5000 0.4987  4 Cu 2.60-2.61, 3 Si 2.63-2.71, 5 Os 2.65-2.81


Question: M_tot of number 4 (CuSiOs2)?
Answer: 0.0 Bohr magnetons per cell


What did the fourth record say?
Here is a relaxed CuSiOs2 crystal from the Alexandria database. Energies are from PBE.

Computed properties:
ΔE_f (raw) = 3.5 kcal/mol of atoms
Space group = Cm, No. 8
Uncorrected energy = -7.841 eV/atom
M_tot = 0.0 Bohr magnetons per cell

Cell lengths 8.8306, 2.8095, 4.3849 Å; angles 90.00, 101.19, 90.00 degrees
Last column: nearest neighbours and their distance in Å.
Atoms (fractional coordinates):
Cu: 0.0000 0.0000 0.0000  3 Si 2.60-2.70, 7 Os 2.60-2.69, 2 Cu 2.81
Cu: 0.5000 0.5000 0.0000  3 Si 2.60-2.70, 7 Os 2.60-2.69, 2 Cu 2.81
Si: 0.2554 0.5000 0.2463  7 Os 2.55-2.71, 3 Cu 2.60-2.70, 2 Si 2.81
Si: 0.7554 0.0000 0.2463  7 Os 2.55-2.71, 3 Cu 2.60-2.70, 2 Si 2.81
Os: 0.2459 0.0000 0.7567  4 Si 2.55-2.66, 3 Cu 2.60-2.69, 5 Os 2.65-2.81
Os: 0.4991 0.0000 0.4987  4 Cu 2.60-2.61, 3 Si 2.63-2.71, 5 Os 2.65-2.81
Os: 0.7459 0.5000 0.7567  4 Si 2.55-2.66, 3 Cu 2.60-2.69, 5 Os 2.65-2.81
Os: 0.9991 0.5000 0.4987  4 Cu 2.60-2.61, 3 Si 2.63-2.71, 5 Os 2.65-2.81


Copy entry 1 word for word.
Here is a relaxed CuSi2Os crystal from the Alexandria database. Energies are from PBE.

Computed properties:
ΔE_f (raw) = -0.4 kcal/mol of atoms
ΔE to the lowest computed polymorph = 0.28 eV/f.u.
Space group = C2/m, No. 12
Uncorrected energy = -6.560 eV/atom
M_tot = 0.0 Bohr magnetons per cell

Cell lengths 7.9188, 2.9588, 4.6463 Å; angles 90.00, 99.42, 90.00 degrees
Last column: nearest neighbours and their distance in Å.
Atoms (fractional coordinates):
Cu: 0.0000 0.0000 0.0000  6 Si 2.44-2.67
Cu: 0.5000 0.5000 0.0000  6 Si 2.44-2.67
Si: 0.2406 0.0000 0.7327  3 Cu 2.44-2.67, 3 Os 2.47-2.51, 2 Si 2.64
Si: 0.2594 0.5000 0.2673  3 Cu 2.44-2.67, 3 Os 2.47-2.51, 2 Si 2.64
Si: 0.7406 0.5000 0.7327  3 Cu 2.44-2.67, 3 Os 2.47-2.51, 2 Si 2.64
Si: 0.7594 0.0000 0.2673  3 Cu 2.44-2.67, 3 Os 2.47-2.51, 2 Si 2.64
Os: 0.0000 0.5000 0.5000  6 Si 2.47-2.51, 4 Cu 2.75
Os: 0.5000 0.0000 0.5000  6 Si 2.47-2.51, 4 Cu 2.75